HoZrSi2 | PBE-GGA | relaxed

The structure in extended XYZ format:
```
4
Lattice="3.859 0.000 0.000 1.929 3.342 0.000 1.929 1.114 6.714" Properties=species:S:1:pos:R:3 pbc="T T T"
Ho 3.859 2.228 3.357
Zr 0.000 0.000 0.000
Si 1.929 1.114 1.556
Si 5.788 3.342 5.158
```

Output
Energy above the most stable polymorph in this dataset: 0.96 eV/f.u.
Formation energy from raw total energies: -0.596 eV per atom